1.
# BaMg2Ir | Alexandria | PBE-GGA | optimized geometry
data_BaMg2Ir
_cell_length_a 9.614
_cell_length_b 9.614
_cell_length_c 9.614
_cell_angle_alpha 147.44
_cell_angle_beta 147.44
_cell_angle_gamma 46.71
_space_group_name_H-M_alt 'P 1'
_space_group_IT_number 1
_space_group_name_Hall 'P 1'
loop_
_atom_site_label
_atom_site_type_symbol
_atom_site_fract_x
_atom_site_fract_y
_atom_site_fract_z
Ba1 Ba 0.375 0.625 0.750
Ba2 Ba 0.625 0.375 0.250
Mg1 Mg 0.000 0.000 0.000
Mg2 Mg 0.000 0.000 0.500
Mg3 Mg 0.000 0.500 0.000
Mg4 Mg 0.500 0.000 0.500
Ir1 Ir 0.125 0.875 0.250
Ir2 Ir 0.875 0.125 0.750
# Calculated volume, Å³ per cell: 256.4
# ρ, g/cm3: 4.898

---

2.
# BaMg2Ir | Alexandria | PBE-GGA | optimized geometry
data_BaMg2Ir
_cell_length_a 5.428
_cell_length_b 5.428
_cell_length_c 3.374
_cell_angle_alpha 90.00
_cell_angle_beta 90.00
_cell_angle_gamma 111.81
_space_group_name_H-M_alt 'P 1'
_space_group_IT_number 1
_space_group_name_Hall 'P 1'
loop_
_atom_site_label
_atom_site_type_symbol
_atom_site_fract_x
_atom_site_fract_y
_atom_site_fract_z
Ba1 Ba 0.000 0.000 0.000
Mg1 Mg 0.000 0.500 0.500
Mg2 Mg 0.500 0.000 0.500
Ir1 Ir 0.500 0.500 0.000
# Calculated volume, Å³ per cell: 92.3
# ρ, g/cm3: 6.804

---

3.
# BaMgIr2 | Alexandria | PBE-GGA | optimized geometry
data_BaMgIr2
_cell_length_a 4.916
_cell_length_b 4.916
_cell_length_c 4.916
_cell_angle_alpha 60.00
_cell_angle_beta 60.00
_cell_angle_gamma 60.00
_space_group_name_H-M_alt 'P 1'
_space_group_IT_number 1
_space_group_name_Hall 'P 1'
loop_
_atom_site_label
_atom_site_type_symbol
_atom_site_fract_x
_atom_site_fract_y
_atom_site_fract_z
Ba1 Ba 0.000 0.000 0.000
Mg1 Mg 0.750 0.750 0.750
Ir1 Ir 0.250 0.250 0.250
Ir2 Ir 0.500 0.500 0.500
# Calculated volume, Å³ per cell: 84.0
# ρ, g/cm3: 10.795

---

4.
# BaMgIr2 | Alexandria | PBE-GGA | optimized geometry
data_BaMgIr2
_cell_length_a 3.036
_cell_length_b 4.429
_cell_length_c 6.686
_cell_angle_alpha 90.00
_cell_angle_beta 100.79
_cell_angle_gamma 90.00
_space_group_name_H-M_alt 'P 1'
_space_group_IT_number 1
_space_group_name_Hall 'P 1'
loop_
_atom_site_label
_atom_site_type_symbol
_atom_site_fract_x
_atom_site_fract_y
_atom_site_fract_z
Ba1 Ba 0.000 0.000 0.000
Mg1 Mg 0.500 0.000 0.500
Ir1 Ir 0.289 0.500 0.667
Ir2 Ir 0.711 0.500 0.333
# Calculated volume, Å³ per cell: 88.3
# ρ, g/cm3: 10.269

---

5.
# Ba8MgIr2 | Alexandria | PBE-GGA | optimized geometry
data_Ba8MgIr2
_cell_length_a 10.569
_cell_length_b 10.569
_cell_length_c 6.484
_cell_angle_alpha 90.00
_cell_angle_beta 90.00
_cell_angle_gamma 120.00
_space_group_name_H-M_alt 'P 1'
_space_group_IT_number 1
_space_group_name_Hall 'P 1'
loop_
_atom_site_label
_atom_site_type_symbol
_atom_site_fract_x
_atom_site_fract_y
_atom_site_fract_z
Ba1 Ba 0.175 0.823 0.258
Ba2 Ba 0.177 0.351 0.258
Ba3 Ba 0.333 0.667 0.755
Ba4 Ba 0.351 0.175 0.742
Ba5 Ba 0.649 0.825 0.258
Ba6 Ba 0.667 0.333 0.245
Ba7 Ba 0.823 0.649 0.742
Ba8 Ba 0.825 0.177 0.742
Mg1 Mg 0.000 0.000 0.000
Ir1 Ir 0.333 0.667 0.242
Ir2 Ir 0.667 0.333 0.758
# Calculated volume, Å³ per cell: 627.4
# ρ, g/cm3: 3.990

---

6.
# BaMgIr2 | Alexandria | PBE-GGA | optimized geometry
data_BaMgIr2
_cell_length_a 4.716
_cell_length_b 4.716
_cell_length_c 6.623
_cell_angle_alpha 98.67
_cell_angle_beta 98.67
_cell_angle_gamma 38.48
_space_group_name_H-M_alt 'P 1'
_space_group_IT_number 1
_space_group_name_Hall 'P 1'
loop_
_atom_site_label
_atom_site_type_symbol
_atom_site_fract_x
_atom_site_fract_y
_atom_site_fract_z
Ba1 Ba 0.000 0.000 0.000
Mg1 Mg 0.500 0.500 0.500
Ir1 Ir 0.235 0.235 0.655
Ir2 Ir 0.765 0.765 0.345
# Calculated volume, Å³ per cell: 90.5
# ρ, g/cm3: 10.019

---

7.
# BaMg2Ir | Alexandria | PBE-GGA | optimized geometry
data_BaMg2Ir
_cell_length_a 5.085
_cell_length_b 5.085
_cell_length_c 5.085
_cell_angle_alpha 60.00
_cell_angle_beta 60.00
_cell_angle_gamma 60.00
_space_group_name_H-M_alt 'P 1'
_space_group_IT_number 1
_space_group_name_Hall 'P 1'
loop_
_atom_site_label
_atom_site_type_symbol
_atom_site_fract_x
_atom_site_fract_y
_atom_site_fract_z
Ba1 Ba 0.000 0.000 0.000
Mg1 Mg 0.250 0.250 0.250
Mg2 Mg 0.750 0.750 0.750
Ir1 Ir 0.500 0.500 0.500
# Calculated volume, Å³ per cell: 93.0
# ρ, g/cm3: 6.753

---

8.
# BaMg2Ir | Alexandria | PBE-GGA | optimized geometry
data_BaMg2Ir
_cell_length_a 3.354
_cell_length_b 3.880
_cell_length_c 7.862
_cell_angle_alpha 90.00
_cell_angle_beta 90.00
_cell_angle_gamma 90.00
_space_group_name_H-M_alt 'P 1'
_space_group_IT_number 1
_space_group_name_Hall 'P 1'
loop_
_atom_site_label
_atom_site_type_symbol
_atom_site_fract_x
_atom_site_fract_y
_atom_site_fract_z
Ba1 Ba 0.000 0.000 0.000
Mg1 Mg 0.000 0.000 0.403
Mg2 Mg 0.500 0.500 0.624
Ir1 Ir 0.500 0.500 0.283
# Calculated volume, Å³ per cell: 102.3
# ρ, g/cm3: 6.138

---

9.
# BaMg2Ir2 | Alexandria | PBE-GGA | optimized geometry
data_BaMg2Ir2
_cell_length_a 8.138
_cell_length_b 8.138
_cell_length_c 3.038
_cell_angle_alpha 90.00
_cell_angle_beta 90.00
_cell_angle_gamma 90.00
_space_group_name_H-M_alt 'P 1'
_space_group_IT_number 1
_space_group_name_Hall 'P 1'
loop_
_atom_site_label
_atom_site_type_symbol
_atom_site_fract_x
_atom_site_fract_y
_atom_site_fract_z
Ba1 Ba 0.000 0.000 0.000
Ba2 Ba 0.500 0.500 0.000
Mg1 Mg 0.129 0.371 0.500
Mg2 Mg 0.371 0.871 0.500
Mg3 Mg 0.629 0.129 0.500
Mg4 Mg 0.871 0.629 0.500
Ir1 Ir 0.159 0.659 0.000
Ir2 Ir 0.341 0.159 0.000
Ir3 Ir 0.659 0.841 0.000
Ir4 Ir 0.841 0.341 0.000
# ΔE to the lowest computed polymorph, eV/atom: 0.119
# Calculated volume, Å³ per cell: 201.2
# ρ, g/cm3: 9.415

---

10.
# BaMg2Ir | Alexandria | PBE-GGA | optimized geometry
data_BaMg2Ir
_cell_length_a 3.333
_cell_length_b 3.333
_cell_length_c 8.687
_cell_angle_alpha 90.00
_cell_angle_beta 90.00
_cell_angle_gamma 90.00
_space_group_name_H-M_alt 'P 1'
_space_group_IT_number 1
_space_group_name_Hall 'P 1'
loop_
_atom_site_label
_atom_site_type_symbol
_atom_site_fract_x
_atom_site_fract_y
_atom_site_fract_z
Ba1 Ba 0.000 0.000 0.000
Mg1 Mg 0.500 0.500 0.338
Mg2 Mg 0.500 0.500 0.662
Ir1 Ir 0.000 0.000 0.500
# Calculated volume, Å³ per cell: 96.5
# ρ, g/cm3: 6.508

---

11.
# BaMgIr2 | Alexandria | PBE-GGA | optimized geometry
data_BaMgIr2
_cell_length_a 5.269
_cell_length_b 5.269
_cell_length_c 3.148
_cell_angle_alpha 90.18
_cell_angle_beta 90.18
_cell_angle_gamma 107.14
_space_group_name_H-M_alt 'P 1'
_space_group_IT_number 1
_space_group_name_Hall 'P 1'
loop_
_atom_site_label
_atom_site_type_symbol
_atom_site_fract_x
_atom_site_fract_y
_atom_site_fract_z
Ba1 Ba 0.000 0.000 0.000
Mg1 Mg 0.500 0.500 0.000
Ir1 Ir 0.000 0.500 0.500
Ir2 Ir 0.500 0.000 0.500
# Calculated volume, Å³ per cell: 83.5
# ρ, g/cm3: 10.858

---

12.
# BaMgIr2 | Alexandria | PBE-GGA | optimized geometry
data_BaMgIr2
_cell_length_a 9.611
_cell_length_b 9.611
_cell_length_c 9.611
_cell_angle_alpha 18.59
_cell_angle_beta 18.59
_cell_angle_gamma 18.59
_space_group_name_H-M_alt 'P 1'
_space_group_IT_number 1
_space_group_name_Hall 'P 1'
loop_
_atom_site_label
_atom_site_type_symbol
_atom_site_fract_x
_atom_site_fract_y
_atom_site_fract_z
Ba1 Ba 0.000 0.000 0.000
Mg1 Mg 0.500 0.500 0.500
Ir1 Ir 0.238 0.238 0.238
Ir2 Ir 0.762 0.762 0.762
# Calculated volume, Å³ per cell: 78.8
# ρ, g/cm3: 11.506

---

13.
# BaMgIr2 | Alexandria | PBE-GGA | optimized geometry
data_BaMgIr2
_cell_length_a 3.371
_cell_length_b 3.371
_cell_length_c 7.341
_cell_angle_alpha 90.00
_cell_angle_beta 90.00
_cell_angle_gamma 90.00
_space_group_name_H-M_alt 'P 1'
_space_group_IT_number 1
_space_group_name_Hall 'P 1'
loop_
_atom_site_label
_atom_site_type_symbol
_atom_site_fract_x
_atom_site_fract_y
_atom_site_fract_z
Ba1 Ba 0.000 0.000 0.000
Mg1 Mg 0.000 0.000 0.500
Ir1 Ir 0.500 0.500 0.314
Ir2 Ir 0.500 0.500 0.686
# Calculated volume, Å³ per cell: 83.4
# ρ, g/cm3: 10.867

---

14.
# BaMg2Ir | Alexandria | PBE-GGA | optimized geometry
data_BaMg2Ir
_cell_length_a 6.379
_cell_length_b 6.379
_cell_length_c 3.372
_cell_angle_alpha 104.43
_cell_angle_beta 104.43
_cell_angle_gamma 122.12
_space_group_name_H-M_alt 'P 1'
_space_group_IT_number 1
_space_group_name_Hall 'P 1'
loop_
_atom_site_label
_atom_site_type_symbol
_atom_site_fract_x
_atom_site_fract_y
_atom_site_fract_z
Ba1 Ba 0.000 0.000 0.000
Mg1 Mg 0.000 0.500 0.500
Mg2 Mg 0.500 0.000 0.500
Ir1 Ir 0.500 0.500 0.000
# Calculated volume, Å³ per cell: 99.6
# ρ, g/cm3: 6.305

---

15.
# BaMgIr2 | Alexandria | PBE-GGA | optimized geometry
data_BaMgIr2
_cell_length_a 9.675
_cell_length_b 9.675
_cell_length_c 9.675
_cell_angle_alpha 150.28
_cell_angle_beta 150.28
_cell_angle_gamma 42.52
_space_group_name_H-M_alt 'P 1'
_space_group_IT_number 1
_space_group_name_Hall 'P 1'
loop_
_atom_site_label
_atom_site_type_symbol
_atom_site_fract_x
_atom_site_fract_y
_atom_site_fract_z
Ba1 Ba 0.375 0.625 0.750
Ba2 Ba 0.625 0.375 0.250
Mg1 Mg 0.125 0.875 0.250
Mg2 Mg 0.875 0.125 0.750
Ir1 Ir 0.000 0.000 0.000
Ir2 Ir 0.000 0.000 0.500
Ir3 Ir 0.000 0.500 0.000
Ir4 Ir 0.500 0.000 0.500
# Calculated volume, Å³ per cell: 222.0
# ρ, g/cm3: 8.171

---

16.
# Ba4MgIr | Alexandria | PBE-GGA | optimized geometry
data_Ba4MgIr
_cell_length_a 6.932
_cell_length_b 6.932
_cell_length_c 6.932
_cell_angle_alpha 60.00
_cell_angle_beta 60.00
_cell_angle_gamma 60.00
_space_group_name_H-M_alt 'P 1'
_space_group_IT_number 1
_space_group_name_Hall 'P 1'
loop_
_atom_site_label
_atom_site_type_symbol
_atom_site_fract_x
_atom_site_fract_y
_atom_site_fract_z
Ba1 Ba 0.123 0.123 0.123
Ba2 Ba 0.123 0.123 0.630
Ba3 Ba 0.123 0.630 0.123
Ba4 Ba 0.630 0.123 0.123
Mg1 Mg 0.500 0.500 0.500
Ir1 Ir 0.750 0.750 0.750
# Calculated volume, Å³ per cell: 235.5
# ρ, g/cm3: 5.400

---

17.
# BaMg2Ir | Alexandria | PBE-GGA | optimized geometry
data_BaMg2Ir
_cell_length_a 6.554
_cell_length_b 6.554
_cell_length_c 6.554
_cell_angle_alpha 150.44
_cell_angle_beta 130.06
_cell_angle_gamma 59.11
_space_group_name_H-M_alt 'P 1'
_space_group_IT_number 1
_space_group_name_Hall 'P 1'
loop_
_atom_site_label
_atom_site_type_symbol
_atom_site_fract_x
_atom_site_fract_y
_atom_site_fract_z
Ba1 Ba 0.000 0.000 0.000
Mg1 Mg 0.313 0.813 0.500
Mg2 Mg 0.687 0.187 0.500
Ir1 Ir 0.500 0.500 0.000
# Calculated volume, Å³ per cell: 105.5
# ρ, g/cm3: 5.950

---

18.
# BaMgIr2 | Alexandria | PBE-GGA | optimized geometry
data_BaMgIr2
_cell_length_a 5.422
_cell_length_b 5.422
_cell_length_c 5.422
_cell_angle_alpha 133.19
_cell_angle_beta 133.19
_cell_angle_gamma 68.35
_space_group_name_H-M_alt 'P 1'
_space_group_IT_number 1
_space_group_name_Hall 'P 1'
loop_
_atom_site_label
_atom_site_type_symbol
_atom_site_fract_x
_atom_site_fract_y
_atom_site_fract_z
Ba1 Ba 0.000 0.000 0.000
Mg1 Mg 0.750 0.250 0.500
Ir1 Ir 0.250 0.750 0.500
Ir2 Ir 0.500 0.500 0.000
# Calculated volume, Å³ per cell: 83.2
# ρ, g/cm3: 10.896

---

19.
# BaMg2Ir2 | Alexandria | PBE-GGA | optimized geometry
data_BaMg2Ir2
_cell_length_a 6.394
_cell_length_b 6.394
_cell_length_c 6.394
_cell_angle_alpha 138.53
_cell_angle_beta 138.53
_cell_angle_gamma 60.10
_space_group_name_H-M_alt 'P 1'
_space_group_IT_number 1
_space_group_name_Hall 'P 1'
loop_
_atom_site_label
_atom_site_type_symbol
_atom_site_fract_x
_atom_site_fract_y
_atom_site_fract_z
Ba1 Ba 0.000 0.000 0.000
Mg1 Mg 0.250 0.750 0.500
Mg2 Mg 0.750 0.250 0.500
Ir1 Ir 0.389 0.389 0.000
Ir2 Ir 0.611 0.611 0.000
# ΔE to the lowest computed polymorph, eV/atom: 0.000
# Calculated volume, Å³ per cell: 113.5
# ρ, g/cm3: 8.346

---

20.
# BaMg2Ir | Alexandria | PBE-GGA | optimized geometry
data_BaMg2Ir
_cell_length_a 4.681
_cell_length_b 4.681
_cell_length_c 6.440
_cell_angle_alpha 111.30
_cell_angle_beta 111.30
_cell_angle_gamma 60.10
_space_group_name_H-M_alt 'P 1'
_space_group_IT_number 1
_space_group_name_Hall 'P 1'
loop_
_atom_site_label
_atom_site_type_symbol
_atom_site_fract_x
_atom_site_fract_y
_atom_site_fract_z
Ba1 Ba 0.000 0.000 0.000
Mg1 Mg 0.523 0.523 0.570
Mg2 Mg 0.807 0.807 0.423
Ir1 Ir 0.186 0.186 0.560
# Calculated volume, Å³ per cell: 111.0
# ρ, g/cm3: 5.655

---

Energy of formation list, top to bottom, in eV/atom: 0.167 0.406 0.565 0.185 0.100 0.166 0.169 -0.057 -0.111 -0.063 0.453 0.454 0.229 0.379 0.081 0.869 -0.046 0.542 -0.230 -0.196